(1)
LaH3Pt: relaxed, GGA-PBE.

Output
Space group: Fd-3m
Energy (eV/f.u.): -22.5

Lattice parameters (Å, degrees): 6.986 6.986 6.986 60.00 60.00 60.00
Each line ends with the local moment (μB).
Fractional positions:
Pt 0.625 0.625 0.625  0.01
Pt 0.125 0.625 0.625  0.04
Pt 0.625 0.625 0.125  0.01
Pt 0.625 0.125 0.625  -0.01
H 0.320 0.320 0.680  0.00
H 0.680 0.320 0.320  0.00
H 0.930 0.570 0.930  0.00
H 0.570 0.930 0.570  0.00
H 0.320 0.680 0.320  0.00
H 0.930 0.930 0.570  0.00
H 0.680 0.320 0.680  0.00
H 0.570 0.570 0.930  0.00
H 0.930 0.570 0.570  0.00
H 0.320 0.680 0.680  0.00
H 0.570 0.930 0.930  0.00
H 0.680 0.680 0.320  0.00
La 0.125 0.125 0.625  0.19
La 0.625 0.125 0.125  0.12
La 0.125 0.125 0.125  0.18
La 0.125 0.625 0.125  0.18

***

(2)
Ag2IrBr: relaxed, GGA-PBE.

Output
Energy above the most stable polymorph in this dataset (eV per atom): 0.3800
Space group: F-43m

Lattice parameters (Å, degrees): 4.715 4.715 4.715 60.00 60.00 60.00
Each line ends with the local moment (μB).
Fractional positions:
Ag 0.000 0.000 0.000  0.06
Ag 0.250 0.250 0.250  0.02
Br 0.500 0.500 0.500  0.15
Ir 0.750 0.750 0.750  1.07

***

(3)
Mg7Pd2Pb: relaxed, GGA-PBE.

Output
Energy above the most stable polymorph in this dataset (eV per atom): 0.0000
Space group: P3m1

Lattice parameters (Å, degrees): 4.707 4.707 11.511 90.00 90.00 120.00
Fractional positions:
Pb 0.000 0.000 0.968
Mg 0.000 0.000 0.279
Mg 0.333 0.667 0.867
Mg 0.000 0.000 0.578
Mg 0.667 0.333 0.066
Mg 0.667 0.333 0.698
Mg 0.333 0.667 0.170
Mg 0.333 0.667 0.418
Pd 0.667 0.333 0.296
Pd 0.333 0.667 0.643

***

(4)
Tb3HoSe4: relaxed, GGA-PBE.

Output
Energy above the most stable polymorph in this dataset (eV per atom): 0.0134
Space group: Pm-3m

Lattice parameters (Å, degrees): 5.779 5.779 5.779 90.00 90.00 90.00
Fractional positions:
Tb 0.000 0.500 0.500
Tb 0.500 0.500 0.000
Tb 0.500 0.000 0.500
Se 0.500 0.000 0.000
Se 0.000 0.000 0.500
Se 0.000 0.500 0.000
Se 0.500 0.500 0.500
Ho 0.000 0.000 0.000

***

(5)
BaZr3Te: relaxed, GGA-PBE.

Output
Energy above the most stable polymorph in this dataset (eV per atom): 0.0000
Space group: Pm-3m

Lattice parameters (Å, degrees): 5.467 5.467 5.467 90.00 90.00 90.00
Fractional positions:
Zr 0.500 0.000 0.000
Zr 0.000 0.500 0.000
Zr 0.000 0.000 0.500
Te 0.000 0.000 0.000
Ba 0.500 0.500 0.500

***

(6)
Zr3BW: relaxed, GGA-PBE.

Output
Energy above the most stable polymorph in this dataset (eV per atom): 0.0000
Space group: Pm-3m

Lattice parameters (Å, degrees): 4.583 4.583 4.583 90.00 90.00 90.00
Fractional positions:
Zr 0.500 0.000 0.000
Zr 0.000 0.000 0.500
Zr 0.000 0.500 0.000
W 0.500 0.500 0.500
B 0.000 0.000 0.000

***

(7)
UHgPd2: relaxed, GGA-PBE.

Output
Energy above the most stable polymorph in this dataset (eV per atom): 0.1550
Space group: R-3m

Lattice parameters (Å, degrees): 3.041 3.041 9.686 80.97 80.97 60.00
Each line ends with the local moment (μB).
Fractional positions:
Hg 0.500 0.500 0.500  0.00
Pd 0.249 0.249 0.252  0.05
Pd 0.751 0.751 0.748  0.05
U 0.000 0.000 0.000  1.91

***

(8)
ScMnAg2: relaxed, GGA-PBE.

Output
Energy above the most stable polymorph in this dataset (eV per atom): 0.0357
Space group: I-4m2

Lattice parameters (Å, degrees): 5.115 5.115 5.115 132.43 132.42 69.56
Each line ends with the local moment (μB).
Fractional positions:
Ag 0.250 0.750 0.500  0.00
Ag 0.000 0.000 0.000  0.01
Mn 0.500 0.500 0.000  3.64
Sc 0.750 0.250 0.500  -0.15

***

Here are the calculated magnetization numbers, same order: 0.3 1.3 0.0 0.0 0.0 0.0 2.2 3.6 (μB per formula unit).